Density functional theory data (PBE) for crystalline Y2Ho2Er7 at its relaxed geometry.

Unit cell a=7.958 b=7.958 c=6.005 alpha=106.29 beta=106.29 gamma=91.32
Fractional positions:
Y 0.214 0.786 0.000
Y 0.786 0.214 0.000
Ho 0.410 0.410 0.695
Ho 0.590 0.590 0.305
Er 0.000 0.000 0.500
Er 0.062 0.590 0.324
Er 0.234 0.234 0.082
Er 0.410 0.938 0.676
Er 0.590 0.062 0.324
Er 0.766 0.766 0.918
Er 0.938 0.410 0.676

Values from the calculation:
E_form = 3.786 kcal/mol of atoms
Density of states at the Fermi level = 17.78 states/eV/f.u.

***

Density functional theory data (PBE) for crystalline Er3CrS6 at its relaxed geometry.

Unit cell a=13.216 b=15.854 c=3.743 alpha=90.00 beta=90.00 gamma=90.00
Fractional positions:
Er 0.050 0.221 0.000
Er 0.181 0.647 0.000
Er 0.243 0.901 0.500
Er 0.257 0.401 0.000
Er 0.319 0.147 0.500
Er 0.450 0.721 0.500
Er 0.550 0.279 0.500
Er 0.681 0.853 0.500
Er 0.743 0.599 0.000
Er 0.757 0.099 0.500
Er 0.819 0.353 0.000
Er 0.950 0.779 0.000
Cr 0.000 0.000 0.500
Cr 0.000 0.500 0.500
Cr 0.500 0.000 0.000
Cr 0.500 0.500 0.000
S 0.022 0.402 0.000
S 0.082 0.924 0.000
S 0.104 0.753 0.500
S 0.120 0.109 0.500
S 0.181 0.520 0.500
S 0.189 0.290 0.500
S 0.311 0.790 0.000
S 0.319 0.020 0.000
S 0.380 0.609 0.000
S 0.396 0.253 0.000
S 0.418 0.424 0.500
S 0.478 0.902 0.500
S 0.522 0.098 0.500
S 0.582 0.576 0.500
S 0.604 0.747 0.000
S 0.620 0.391 0.000
S 0.681 0.980 0.000
S 0.689 0.210 0.000
S 0.811 0.710 0.500
S 0.819 0.480 0.500
S 0.880 0.891 0.500
S 0.896 0.247 0.500
S 0.918 0.076 0.000
S 0.978 0.598 0.000

Values from the calculation:
Formation energy from raw total energies = -1722 meV per atom
ΔE to the lowest computed polymorph = 0.00 kJ/mol of atoms

***

Density functional theory data (PBE) for crystalline Er12Hf3Zr5 at its relaxed geometry.

Unit cell a=15.320 b=15.320 c=15.320 alpha=109.47 beta=109.47 gamma=109.47
Fractional positions:
Er 0.066 0.633 0.403
Er 0.066 0.933 0.663
Er 0.067 0.230 0.133
Er 0.067 0.337 0.934
Er 0.097 0.730 0.663
Er 0.097 0.867 0.434
Er 0.133 0.067 0.230
Er 0.133 0.566 0.903
Er 0.163 0.230 0.597
Er 0.163 0.433 0.566
Er 0.230 0.133 0.067
Er 0.230 0.597 0.163
Er 0.270 0.337 0.903
Er 0.270 0.433 0.367
Er 0.337 0.903 0.270
Er 0.337 0.934 0.067
Er 0.367 0.270 0.433
Er 0.367 0.597 0.934
Er 0.403 0.066 0.633
Er 0.403 0.837 0.770
Er 0.433 0.367 0.270
Er 0.433 0.566 0.163
Er 0.434 0.097 0.867
Er 0.434 0.837 0.567
Er 0.566 0.163 0.433
Er 0.566 0.903 0.133
Er 0.567 0.434 0.837
Er 0.567 0.633 0.730
Er 0.597 0.163 0.230
Er 0.597 0.934 0.367
Er 0.633 0.403 0.066
Er 0.633 0.730 0.567
Er 0.663 0.066 0.933
Er 0.663 0.097 0.730
Er 0.730 0.567 0.633
Er 0.730 0.663 0.097
Er 0.770 0.403 0.837
Er 0.770 0.867 0.933
Er 0.837 0.567 0.434
Er 0.837 0.770 0.403
Er 0.867 0.434 0.097
Er 0.867 0.933 0.770
Er 0.903 0.133 0.566
Er 0.903 0.270 0.337
Er 0.933 0.663 0.066
Er 0.933 0.770 0.867
Er 0.934 0.067 0.337
Er 0.934 0.367 0.597
Hf 0.125 0.250 0.375
Hf 0.125 0.375 0.750
Hf 0.250 0.375 0.125
Hf 0.250 0.875 0.625
Hf 0.375 0.125 0.250
Hf 0.375 0.750 0.125
Hf 0.625 0.250 0.875
Hf 0.625 0.875 0.750
Hf 0.750 0.125 0.375
Hf 0.750 0.625 0.875
Hf 0.875 0.625 0.250
Hf 0.875 0.750 0.625
Zr 0.000 0.000 0.000
Zr 0.000 0.000 0.500
Zr 0.000 0.500 0.000
Zr 0.000 0.500 0.500
Zr 0.125 0.750 0.875
Zr 0.125 0.875 0.250
Zr 0.250 0.125 0.875
Zr 0.250 0.625 0.375
Zr 0.375 0.250 0.625
Zr 0.375 0.625 0.750
Zr 0.500 0.000 0.000
Zr 0.500 0.000 0.500
Zr 0.500 0.500 0.000
Zr 0.500 0.500 0.500
Zr 0.625 0.375 0.250
Zr 0.625 0.750 0.375
Zr 0.750 0.375 0.625
Zr 0.750 0.875 0.125
Zr 0.875 0.125 0.750
Zr 0.875 0.250 0.125

Values from the calculation:
E_form = 29.946 kcal/mol of atoms
Density of states at the Fermi level = 35.67 states/eV/f.u.

***

Density functional theory data (PBE) for crystalline VAgSb2 at its relaxed geometry.

Unit cell a=3.372 b=3.372 c=27.557 alpha=90.00 beta=90.00 gamma=120.00
Fractional positions:
V 0.000 0.000 0.000
V 0.333 0.667 0.667
V 0.667 0.333 0.333
Ag 0.000 0.000 0.500
Ag 0.333 0.667 0.167
Ag 0.667 0.333 0.833
Sb 0.000 0.000 0.401
Sb 0.000 0.000 0.599
Sb 0.333 0.667 0.068
Sb 0.333 0.667 0.265
Sb 0.667 0.333 0.735
Sb 0.667 0.333 0.932

Values from the calculation:
Formation energy from raw total energies = 63 meV per atom
Density of states at the Fermi level = 1.74 states/eV/f.u.

***

Record order is preserved below.
Total energy: -4.747 -6.530 -5.069 -4.991 eV per atom